A geometry-optimized CrGeSO structure, computed with PBE with a Hubbard U.

Energy above the most stable polymorph in this dataset   0.235 eV per atom
M_tot   4.0 μB per formula unit
Density   3.65 g cm⁻³
Final energy   -5.906 eV/atom

Cell: 6.552 3.628 7.082 Å, 90.00 110.86 90.00°
Sites, in units of the cell vectors:
1 Cr 0.351 0.000 0.997
2 Cr 0.351 0.500 0.497
3 Ge 0.829 0.000 0.884
4 Ge 0.829 0.500 0.384
5 S 0.163 0.000 0.598
6 S 0.163 0.500 0.098
7 O 0.667 0.000 0.041
8 O 0.667 0.500 0.541